# ZnCu2Te PBE relaxed
data_ZnCu2Te
_symmetry_space_group_name_H-M 'I 4/m m m'
_symmetry_Int_Tables_number 139
_symmetry_space_group_name_Hall '-I 4 2'
_cell_length_a 4.103
_cell_length_b 4.103
_cell_length_c 8.014
_cell_angle_alpha 90.00
_cell_angle_beta 90.00
_cell_angle_gamma 90.00
loop_
_atom_site_label
_atom_site_type_symbol
_atom_site_fract_x
_atom_site_fract_y
_atom_site_fract_z
Zn1 Zn 0.000 0.000 0.000
Cu1 Cu 0.000 0.500 0.250
Te1 Te 0.000 0.000 0.500
# formation energy without anion corrections: 87 kJ/mol of formula units
# calculated density: 7881 kg/m³